[1]
Computed, not measured: a relaxed structure of Zn3As2 at the PBEsol level of DFT.

abc: 10.130 10.130 10.130
angles: 109.47 109.47 109.47
Sites, in units of the cell vectors:
Zn  0.492  0.473  0.740
Zn  0.519  0.992  0.752
Zn  0.473  0.240  0.992
Zn  0.508  0.527  0.260
Zn  0.973  0.981  0.233
Zn  0.767  0.248  0.240
Zn  0.008  0.748  0.981
Zn  0.019  0.267  0.527
Zn  0.233  0.752  0.760
Zn  0.733  0.973  0.481
Zn  0.481  0.008  0.248
Zn  0.267  0.027  0.519
Zn  0.252  0.519  0.492
Zn  0.260  0.233  0.252
Zn  0.752  0.260  0.733
Zn  0.748  0.481  0.508
Zn  0.760  0.508  0.027
Zn  0.527  0.760  0.008
Zn  0.027  0.019  0.767
Zn  0.240  0.492  0.973
Zn  0.740  0.767  0.748
Zn  0.248  0.740  0.267
Zn  0.981  0.733  0.473
Zn  0.992  0.252  0.019
As  0.007  0.757  0.250
As  0.507  0.257  0.250
As  0.000  0.500  0.500
As  0.493  0.743  0.750
As  0.500  0.500  0.000
As  0.743  0.250  0.993
As  0.750  0.507  0.757
As  0.500  0.000  0.500
As  0.993  0.243  0.750
As  0.000  0.000  0.000
As  0.250  0.993  0.743
As  0.257  0.750  0.007
As  0.250  0.493  0.243
As  0.750  0.007  0.257
As  0.757  0.750  0.507
As  0.243  0.250  0.493

Results
As for the total magnetization: 0.0 μB/f.u. As for the symmetry: Ia-3, No. 206. For the formation energy, the calculation gives -0.4 eV/f.u.



[2]
Computed, not measured: a relaxed structure of ZnAs3 at the PBEsol level of DFT.

abc: 3.800 3.800 10.683
angles: 100.25 100.25 90.00
Sites, in units of the cell vectors:
As  0.898  0.898  0.797
As  0.102  0.102  0.203
As  0.000  0.500  0.000
As  0.750  0.250  0.500
As  0.500  0.000  0.000
As  0.250  0.750  0.500
Zn  0.354  0.354  0.709
Zn  0.646  0.646  0.291

Results
As for the total magnetization: 0.0 μB/f.u. As for the symmetry: I4/mmm, No. 139. The calculation puts the energy above the most stable polymorph in this dataset at 0.000 eV/atom. For the formation energy, the calculation gives 1.2 eV/f.u.



[3]
Computed, not measured: a relaxed structure of ZnAs at the PBEsol level of DFT.

abc: 5.633 7.209 7.507
angles: 90.00 90.00 90.00
Sites, in units of the cell vectors:
As  0.862  0.575  0.398
As  0.362  0.925  0.602
As  0.862  0.925  0.898
As  0.138  0.425  0.602
As  0.638  0.425  0.898
As  0.362  0.575  0.102
As  0.638  0.075  0.398
As  0.138  0.075  0.102
Zn  0.039  0.884  0.366
Zn  0.539  0.884  0.134
Zn  0.461  0.116  0.866
Zn  0.461  0.384  0.366
Zn  0.961  0.116  0.634
Zn  0.039  0.616  0.866
Zn  0.539  0.616  0.634
Zn  0.961  0.384  0.134

Results
As for the total magnetization: 0.0 μB/f.u. As for the symmetry: Pbca, No. 61. For the formation energy, the calculation gives -0.2 eV/f.u.



E_tot (eV per atom)
-3.062, -3.922, -3.450